DFT (PBE-GGA) results for a relaxed Ba2TlSn3Hg4 crystal.

Computed properties:
The formation energy comes out at -376 meV per atom. As for the space-group type: No. 115. As for the crystal system: tetragonal.

Cell: 5.046 5.046 12.164 Å, 90.00 90.00 90.00°
Element x y z (fractional)
Ba 0.000 0.500 0.239
Ba 0.500 0.000 0.761
Tl 0.000 0.000 0.500
Sn 0.000 0.500 0.871
Sn 0.500 0.000 0.129
Sn 0.500 0.500 0.500
Hg 0.000 0.000 0.000
Hg 0.000 0.500 0.638
Hg 0.500 0.000 0.362
Hg 0.500 0.500 0.000

DFT (PBE-GGA) results for a relaxed CuAgPt2 crystal.

Computed properties:
The formation energy comes out at -42 meV per atom. The value obtained for the energy above the lowest structure with this stoichiometry is 93 meV per atom. As for the space-group type: No. 123. As for the crystal system: tetragonal.

Cell: 2.785 2.785 7.889 Å, 90.00 90.00 90.00°
Element x y z (fractional)
Cu 0.000 0.000 0.000
Ag 0.000 0.000 0.500
Pt 0.500 0.500 0.227
Pt 0.500 0.500 0.773

DFT (PBE-GGA) results for a relaxed YPu5As6 crystal.

Computed properties:
The formation energy comes out at -1081 meV per atom. As for the space-group type: No. 12. As for the crystal system: monoclinic.

Cell: 7.172 7.172 7.135 Å, 99.64 99.64 119.99°
Element x y z (fractional)
Y 0.000 0.000 0.000
Pu 0.166 0.834 0.500
Pu 0.333 0.667 0.000
Pu 0.500 0.500 0.500
Pu 0.667 0.333 0.000
Pu 0.834 0.166 0.500
As 0.084 0.418 0.251
As 0.251 0.251 0.749
As 0.418 0.084 0.251
As 0.582 0.916 0.749
As 0.749 0.749 0.251
As 0.916 0.582 0.749

DFT (PBE-GGA) results for a relaxed Sr2MnIr crystal.

Computed properties:
The formation energy comes out at 388 meV per atom. The value obtained for the energy above the lowest structure with this stoichiometry is 357 meV per atom. As for the space-group type: No. 123. As for the crystal system: tetragonal.

Cell: 4.992 4.992 4.123 Å, 90.00 90.00 90.00°
Element x y z (fractional)
Sr 0.000 0.500 0.000
Sr 0.500 0.000 0.000
Mn 0.000 0.000 0.500
Ir 0.500 0.500 0.500

DFT (PBE-GGA) results for a relaxed LiAl2C crystal.

Computed properties:
The formation energy comes out at 113 meV per atom. As for the space-group type: No. 166. As for the crystal system: trigonal.

Cell: 3.115 3.115 20.706 Å, 90.00 90.00 120.00°
Element x y z (fractional)
Li 0.000 0.000 0.000
Li 0.333 0.667 0.667
Li 0.667 0.333 0.333
Al 0.000 0.000 0.217
Al 0.000 0.000 0.783
Al 0.333 0.667 0.449
Al 0.333 0.667 0.884
Al 0.667 0.333 0.116
Al 0.667 0.333 0.551
C 0.000 0.000 0.500
C 0.333 0.667 0.167
C 0.667 0.333 0.833

DFT (PBE-GGA) results for a relaxed Pr6NdSm2Mg crystal.

Computed properties:
The formation energy comes out at 97 meV per atom. As for the space-group type: No. 15. As for the crystal system: monoclinic.

Cell: 8.732 8.732 9.618 Å, 96.32 96.32 105.62°
Element x y z (fractional)
Pr 0.038 0.467 0.673
Pr 0.064 0.829 0.904
Pr 0.171 0.936 0.596
Pr 0.237 0.579 0.075
Pr 0.421 0.763 0.425
Pr 0.467 0.038 0.173
Pr 0.533 0.962 0.827
Pr 0.579 0.237 0.575
Pr 0.763 0.421 0.925
Pr 0.829 0.064 0.404
Pr 0.936 0.171 0.096
Pr 0.962 0.533 0.327
Nd 0.436 0.564 0.750
Nd 0.564 0.436 0.250
Sm 0.233 0.297 0.406
Sm 0.297 0.233 0.906
Sm 0.703 0.767 0.094
Sm 0.767 0.703 0.594
Mg 0.099 0.901 0.250
Mg 0.901 0.099 0.750

DFT (PBE-GGA) results for a relaxed ZrSc2BSb crystal.

Computed properties:
The value obtained for the energy above the lowest structure with this stoichiometry is 0 meV per atom. As for the space-group type: No. 123. For the uncorrected formation energy, the calculation gives -0.5843 eV per atom. As for the crystal system: tetragonal.

Cell: 4.619 4.619 4.661 Å, 90.00 90.00 90.00°
Element x y z (fractional)
Zr 0.000 0.000 0.000
Sc 0.000 0.500 0.500
Sc 0.500 0.000 0.500
B 0.000 0.000 0.500
Sb 0.500 0.500 0.000

DFT (PBE-GGA) results for a relaxed SiP2RuN crystal.

Computed properties:
The value obtained for the energy above the lowest structure with this stoichiometry is 196 meV per atom. As for the space-group type: No. 8. For the uncorrected formation energy, the calculation gives -0.1311 eV per atom. As for the crystal system: monoclinic.

Cell: 7.068 2.915 7.259 Å, 90.00 104.37 90.00°
Element x y z (fractional)
Si 0.000 0.000 0.000
Si 0.500 0.500 0.000
P 0.431 0.000 0.338
P 0.434 0.500 0.680
P 0.931 0.500 0.338
P 0.934 0.000 0.680
Ru 0.177 0.000 0.501
Ru 0.677 0.500 0.501
N 0.396 0.000 0.083
N 0.896 0.500 0.083

no.,ρ (g/cm³),spin magnetization (μB/cell)
1,8.78,0.0
2,15.24,0.0
3,9.75,5.1
4,6.83,4.4
5,2.09,0.0
6,6.29,0.0
7,5.24,0.0
8,4.70,0.0